Entry from Alexandria via LeMat-Bulk: a relaxed CsNbTlBr6 crystal (PBE).

## Properties
Space-group type: P-31c, No. 163

Cell lengths 7.9904, 7.9904, 14.3917 Å; angles 90.00, 90.00, 120.00 degrees
Closest atoms and distances in Å follow each position.
Sites, in units of the cell vectors:
1 Cs 0.0000 0.0000 0.0000  6 Br 3.67
2 Cs 0.0000 0.0000 0.5000  6 Br 3.67
3 Nb 0.3333 0.6667 0.2500  6 Br 2.60
4 Nb 0.6667 0.3333 0.7500  6 Br 2.60
5 Tl 0.3333 0.6667 0.7500  6 Br 3.30
6 Tl 0.6667 0.3333 0.2500  6 Br 3.30
7 Br 0.0642 0.4048 0.1452  1 Nb 2.60
8 Br 0.0642 0.6593 0.3548  1 Nb 2.60
9 Br 0.3407 0.4048 0.3548  1 Nb 2.60
10 Br 0.3407 0.9358 0.1452  1 Nb 2.60
11 Br 0.4048 0.0642 0.6452  1 Nb 2.60
12 Br 0.4048 0.3407 0.8548  1 Nb 2.60
13 Br 0.5952 0.6593 0.1452  1 Nb 2.60
14 Br 0.5952 0.9358 0.3548  1 Nb 2.60
15 Br 0.6593 0.0642 0.8548  1 Nb 2.60
16 Br 0.6593 0.5952 0.6452  1 Nb 2.60
17 Br 0.9358 0.3407 0.6452  1 Nb 2.60
18 Br 0.9358 0.5952 0.8548  1 Nb 2.60

Entry from Alexandria via LeMat-Bulk: a relaxed Cs2NbWBr6 crystal (PBE).

## Properties
Space-group type: I4/mmm, No. 139

Cell lengths 7.7922, 7.7922, 7.7922 Å; angles 120.11, 120.11, 89.80 degrees
Closest atoms and distances in Å follow each position.
Sites, in units of the cell vectors:
1 Cs 0.2500 0.7500 0.5000  12 Br 3.89-3.90
2 Cs 0.7500 0.2500 0.5000  12 Br 3.89-3.90
3 Nb 0.0000 0.0000 0.0000  6 Br 2.81
4 W 0.5000 0.5000 0.0000  6 Br 2.69-2.71
5 Br 0.2549 0.2549 0.0000  1 W 2.71, 1 Nb 2.81
6 Br 0.2555 0.2555 0.5110  1 W 2.69, 1 Nb 2.81
7 Br 0.2555 0.7445 0.0000  1 W 2.69, 1 Nb 2.81
8 Br 0.7445 0.2555 0.0000  1 W 2.69, 1 Nb 2.81
9 Br 0.7451 0.7451 0.0000  1 W 2.71, 1 Nb 2.81
10 Br 0.7445 0.7445 0.4890  1 W 2.69, 1 Nb 2.81

Entry from Alexandria via LeMat-Bulk: a relaxed Cs2YNbBr6 crystal (PBE).

## Properties
Space-group type: Fm-3m, No. 225

Cell lengths 7.8582, 7.8582, 7.8582 Å; angles 60.00, 60.00, 60.00 degrees
Closest atoms and distances in Å follow each position.
Sites, in units of the cell vectors:
1 Cs 0.2500 0.2500 0.2500  12 Br 3.93
2 Cs 0.7500 0.7500 0.7500  12 Br 3.93
3 Y 0.0000 0.0000 0.0000  6 Br 2.83
4 Nb 0.5000 0.5000 0.5000  6 Br 2.73
5 Br 0.2545 0.2545 0.7455  1 Nb 2.73, 1 Y 2.83
6 Br 0.2545 0.7455 0.2545  1 Nb 2.73, 1 Y 2.83
7 Br 0.2545 0.7455 0.7455  1 Nb 2.73, 1 Y 2.83
8 Br 0.7455 0.2545 0.2545  1 Nb 2.73, 1 Y 2.83
9 Br 0.7455 0.2545 0.7455  1 Nb 2.73, 1 Y 2.83
10 Br 0.7455 0.7455 0.2545  1 Nb 2.73, 1 Y 2.83

Entry from Alexandria via LeMat-Bulk: a relaxed Cs2ZrNbBr6 crystal (PBE).

## Properties
Space-group type: Fm-3m, No. 225

Cell lengths 7.7701, 7.7701, 7.7701 Å; angles 60.00, 60.00, 60.00 degrees
Closest atoms and distances in Å follow each position.
Sites, in units of the cell vectors:
1 Cs 0.2500 0.2500 0.2500  12 Br 3.89
2 Cs 0.7500 0.7500 0.7500  12 Br 3.89
3 Zr 0.0000 0.0000 0.0000  6 Br 2.77
4 Nb 0.5000 0.5000 0.5000  6 Br 2.73
5 Br 0.2518 0.2518 0.7482  1 Nb 2.73, 1 Zr 2.77
6 Br 0.2518 0.7482 0.2518  1 Nb 2.73, 1 Zr 2.77
7 Br 0.2518 0.7482 0.7482  1 Nb 2.73, 1 Zr 2.77
8 Br 0.7482 0.2518 0.2518  1 Nb 2.73, 1 Zr 2.77
9 Br 0.7482 0.2518 0.7482  1 Nb 2.73, 1 Zr 2.77
10 Br 0.7482 0.7482 0.2518  1 Nb 2.73, 1 Zr 2.77

Entry from Alexandria via LeMat-Bulk: a relaxed Cs3NdBr8 crystal (PBE).

## Properties
Space-group type: I4/mmm, No. 139

Cell lengths 10.0734, 10.0734, 10.0734 Å; angles 132.23, 132.23, 69.87 degrees
Closest atoms and distances in Å follow each position.
Sites, in units of the cell vectors:
1 Cs 0.0000 0.0000 0.0000  8 Br 3.75
2 Cs 0.2500 0.7500 0.5000  8 Br 3.74
3 Cs 0.7500 0.2500 0.5000  8 Br 3.74
4 Nd 0.5000 0.5000 0.0000  8 Br 3.05
5 Br 0.1778 0.1778 0.5713  1 Nd 3.05
6 Br 0.1778 0.6065 0.0000  1 Nd 3.05
7 Br 0.3935 0.3935 0.5713  1 Nd 3.05
8 Br 0.3935 0.8222 0.0000  1 Nd 3.05
9 Br 0.6065 0.1778 0.0000  1 Nd 3.05
10 Br 0.6065 0.6065 0.4287  1 Nd 3.05
11 Br 0.8222 0.3935 0.0000  1 Nd 3.05
12 Br 0.8222 0.8222 0.4287  1 Nd 3.05

Entry from Alexandria via LeMat-Bulk: a relaxed Cs2NdBr5 crystal (PBE).

## Properties
Space-group type: Pnma, No. 62

Cell lengths 14.5804, 9.5977, 9.1882 Å; angles 90.00, 90.00, 90.00 degrees
Closest atoms and distances in Å follow each position.
Sites, in units of the cell vectors:
1 Cs 0.1697 0.0084 0.0745  7 Br 3.64-4.03
2 Cs 0.1697 0.4916 0.0745  7 Br 3.64-4.03
3 Cs 0.3303 0.5084 0.5745  7 Br 3.64-4.03
4 Cs 0.3303 0.9916 0.5745  7 Br 3.64-4.03
5 Cs 0.6697 0.0084 0.4255  7 Br 3.64-4.03
6 Cs 0.6697 0.4916 0.4255  7 Br 3.64-4.03
7 Cs 0.8303 0.5084 0.9255  7 Br 3.64-4.03
8 Cs 0.8303 0.9916 0.9255  7 Br 3.64-4.03
9 Nd 0.0054 0.2500 0.5685  7 Br 2.93-3.07
10 Nd 0.4946 0.7500 0.0685  7 Br 2.93-3.07
11 Nd 0.5054 0.2500 0.9315  7 Br 2.93-3.07
12 Nd 0.9946 0.7500 0.4315  7 Br 2.93-3.07
13 Br 0.0154 0.2500 0.8910  1 Nd 2.97
14 Br 0.0607 0.5452 0.6623  2 Nd 3.05-3.07
15 Br 0.0607 0.9548 0.6623  2 Nd 3.05-3.07
16 Br 0.1775 0.2500 0.4042  1 Nd 2.93
17 Br 0.1905 0.7500 0.3623  1 Nd 2.93
18 Br 0.3095 0.2500 0.8623  1 Nd 2.93
19 Br 0.3225 0.7500 0.9042  1 Nd 2.93
20 Br 0.4393 0.0452 0.1623  2 Nd 3.05-3.07
21 Br 0.4393 0.4548 0.1623  2 Nd 3.05-3.07
22 Br 0.4846 0.7500 0.3910  1 Nd 2.97
23 Br 0.5154 0.2500 0.6090  1 Nd 2.97
24 Br 0.5607 0.5452 0.8377  2 Nd 3.05-3.07
25 Br 0.5607 0.9548 0.8377  2 Nd 3.05-3.07
26 Br 0.6775 0.2500 0.0958  1 Nd 2.93
27 Br 0.6905 0.7500 0.1377  1 Nd 2.93
28 Br 0.8095 0.2500 0.6377  1 Nd 2.93
29 Br 0.8225 0.7500 0.5958  1 Nd 2.93
30 Br 0.9393 0.0452 0.3377  2 Nd 3.05-3.07
31 Br 0.9393 0.4548 0.3377  2 Nd 3.05-3.07
32 Br 0.9846 0.7500 0.1090  1 Nd 2.97

Entry from Alexandria via LeMat-Bulk: a relaxed CsNdBr2 crystal (PBE).

## Properties
Space-group type: R-3m, No. 166

Cell lengths 4.0287, 4.0287, 28.7540 Å; angles 90.00, 90.00, 120.00 degrees
Closest atoms and distances in Å follow each position.
Sites, in units of the cell vectors:
1 Cs 0.0000 0.0000 0.0000  6 Br 3.55
2 Cs 0.3333 0.6667 0.6667  6 Br 3.55
3 Cs 0.6667 0.3333 0.3333  6 Br 3.55
4 Nd 0.0000 0.0000 0.5000  6 Br 3.14
5 Nd 0.3333 0.6667 0.1667  6 Br 3.14
6 Nd 0.6667 0.3333 0.8333  6 Br 3.14
7 Br 0.0000 0.0000 0.2400  3 Nd 3.14
8 Br 0.0000 0.0000 0.7600  3 Nd 3.14
9 Br 0.3333 0.6667 0.4267  3 Nd 3.14
10 Br 0.3333 0.6667 0.9067  3 Nd 3.14
11 Br 0.6667 0.3333 0.0933  3 Nd 3.14
12 Br 0.6667 0.3333 0.5733  3 Nd 3.14

Entry from Alexandria via LeMat-Bulk: a relaxed Cs2NdBr6 crystal (PBE).

## Properties
Space-group type: C2/m, No. 12

Cell lengths 9.7490, 9.7490, 5.3123 Å; angles 105.74, 105.74, 53.59 degrees
Closest atoms and distances in Å follow each position.
Sites, in units of the cell vectors:
1 Cs 0.1678 0.1678 0.1677  8 Br 3.68-3.87
2 Cs 0.8322 0.8322 0.8323  8 Br 3.68-3.87
3 Nd 0.5000 0.5000 0.5000  8 Br 2.98-3.16
4 Br 0.1462 0.5750 0.3607  1 Nd 2.98
5 Br 0.3060 0.6940 0.0000  2 Nd 3.16, 5 Br 3.41-3.53
6 Br 0.4250 0.8538 0.6393  1 Nd 2.98
7 Br 0.5750 0.1462 0.3607  1 Nd 2.98
8 Br 0.6940 0.3060 0.0000  2 Nd 3.16, 5 Br 3.41-3.53
9 Br 0.8538 0.4250 0.6393  1 Nd 2.98

Entry from Alexandria via LeMat-Bulk: a relaxed CsNd2Br6 crystal (PBE).

## Properties
Space-group type: C2/c, No. 15

Cell lengths 10.3829, 10.3829, 7.0848 Å; angles 100.34, 100.34, 59.31 degrees
Closest atoms and distances in Å follow each position.
Sites, in units of the cell vectors:
1 Cs 0.2493 0.7507 0.7500  10 Br 3.71-3.99
2 Cs 0.7507 0.2493 0.2500  10 Br 3.71-3.99
3 Nd 0.2483 0.2518 0.0007  8 Br 2.98-3.24
4 Nd 0.2518 0.2483 0.5007  8 Br 2.98-3.24
5 Nd 0.7482 0.7517 0.4993  8 Br 2.98-3.24
6 Nd 0.7517 0.7482 0.9993  8 Br 2.98-3.24
7 Br 0.0462 0.5465 0.7740  4 Nd 3.21-3.24, 2 Br 3.57
8 Br 0.0535 0.1860 0.6813  2 Nd 2.98
9 Br 0.1860 0.0535 0.1813  2 Nd 2.98
10 Br 0.3145 0.4464 0.3203  2 Nd 2.98
11 Br 0.4464 0.3145 0.8203  2 Nd 2.98
12 Br 0.4535 0.9538 0.7260  4 Nd 3.21-3.24, 2 Br 3.57
13 Br 0.5465 0.0462 0.2740  4 Nd 3.21-3.24, 2 Br 3.57
14 Br 0.5536 0.6855 0.1797  2 Nd 2.98
15 Br 0.6855 0.5536 0.6797  2 Nd 2.98
16 Br 0.8140 0.9465 0.8187  2 Nd 2.98
17 Br 0.9465 0.8140 0.3187  2 Nd 2.98
18 Br 0.9538 0.4535 0.2260  4 Nd 3.21-3.24, 2 Br 3.57

Number 1: E -0.2695 Ry per atom, formation energy from raw total energies -1.075 eV per atom. Number 2: E -0.3016 Ry per atom, formation energy from raw total energies -0.626 eV per atom. Number 3: E -0.3033 Ry per atom, formation energy from raw total energies -1.298 eV per atom. Number 4: E -0.3032 Ry per atom, formation energy from raw total energies -1.090 eV per atom. Number 5: E -0.2301 Ry per atom, formation energy from raw total energies -1.405 eV per atom. Number 6: E -0.2749 Ry per atom, formation energy from raw total energies -1.886 eV per atom. Number 7: E -0.2590 Ry per atom, formation energy from raw total energies -1.282 eV per atom. Number 8: E -0.2491 Ry per atom, formation energy from raw total energies -1.554 eV per atom. Number 9: E -0.2990 Ry per atom, formation energy from raw total energies -1.798 eV per atom.